# BaMg5

Crystalline BaMg5 at its relaxed geometry (PBE, the Alexandria database).

Computed properties:
The calculation puts the calculated total energy at -0.1212 Ry/atom. As for the space group: No. 216. The density of states at the Fermi level comes out at 0.839 states/eV/atom.

Unit cell a=6.2527 b=6.2527 c=6.2527 alpha=60.00 beta=60.00 gamma=60.00
Last column: nearest neighbours and their distance in Å.
Element x y z (fractional)
Mg 0.6243 0.1270 0.6243  6 Mg 3.11-3.14
Mg 0.2500 0.2500 0.2500  12 Mg 3.66, 4 Ba 3.83
Mg 0.6243 0.6243 0.1270  6 Mg 3.11-3.14
Mg 0.6243 0.6243 0.6243  6 Mg 3.11-3.14
Mg 0.1270 0.6243 0.6243  6 Mg 3.11-3.14
Ba 0.0000 0.0000 0.0000  16 Mg 3.67-3.83